1.
This record from Alexandria via LeMat-Bulk describes a geometry-optimized Li6NCl3 structure. The functional is PBE-GGA.

Lattice parameters (Å, degrees): 7.6955 8.2127 10.8169 90.00 90.00 90.00
Space group Fmmm (No. 69)
Asymmetric unit:
Li 0.0000 0.2279 0.0000 x8
Li 0.1833 0.0000 0.1246 x16
N 0.0000 0.0000 0.0000 x4
Cl 0.0000 0.0000 0.5000 x4
Cl 0.2500 0.2500 0.2500 x8

Results
Energy (eV for the cell shown): -148.65
Volume (Å³/atom): 17.09
ρ (kg/m³): 1574

=====

2.
This record from Alexandria via LeMat-Bulk describes a geometry-optimized Li6N2Cl structure. The functional is PBE-GGA.

Lattice parameters (Å, degrees): 10.4506 3.8302 7.2402 90.00 114.48 90.00
Space group C2/m (No. 12)
Asymmetric unit:
Li 0.0052 0.0000 0.1564 x4
Li 0.1708 0.5000 0.6435 x4
Li 0.2020 0.5000 0.0609 x4
N 0.1724 0.0000 0.1007 x4
Cl 0.0000 0.0000 0.5000 x2

Results
Energy (eV for the cell shown): -68.88
Volume (Å³/atom): 14.65
ρ (kg/m³): 1324